Computed, not measured: an optimized crystal structure of La6As2SCl3 at the PBE level of DFT.

Cell and atoms, written as POSCAR:
```
La6As2SCl3
1.0
9.235 -2.144 0.000
9.235 2.144 0.000
-1.832 0.000 8.222
La As S Cl
6 2 1 3
direct
0.000 0.000 0.232
0.000 0.000 0.768
0.331 0.331 0.423
0.342 0.342 0.914
0.658 0.658 0.086
0.669 0.669 0.577
0.165 0.165 0.332
0.835 0.835 0.668
0.500 0.500 0.000
0.171 0.171 0.837
0.500 0.500 0.500
0.829 0.829 0.163
```

Calculated values
- E_form (uncorrected): -1730 meV per atom
- DOS(E_F): 7.55 states/eV per cell